Compound: NaTb2Au3
Source: the Alexandria database
Functional: GGA-PBE
Structure: relaxed

Computed properties:
- Energy of formation: -0.69 eV per atom

POSCAR file:
```
NaTb2Au3
1.0
-0.899 -4.020 -2.932
-0.034 -0.483 5.033
-12.070 2.576 0.167
Na Tb Au
2 4 6
Cartesian
-8.407 0.063 2.490
-4.595 -1.991 -0.222
-6.035 1.288 0.083
-2.486 -1.200 2.408
-10.516 -0.727 -0.140
0.000 0.000 0.000
-5.477 -0.562 2.449
-1.428 -2.667 -0.266
-9.108 1.944 0.126
-2.961 0.632 0.041
-11.574 0.739 2.534
-7.525 -1.365 -0.181
```

---

Compound: Tl4Hg
Source: the Alexandria database
Functional: GGA-PBE
Structure: relaxed

Computed properties:
- Energy of formation: 0.18 eV per atom

POSCAR file:
```
Tl4Hg
1.0
-3.560 3.560 3.560
3.560 -3.560 3.560
3.560 3.560 -3.560
Tl Hg
4 1
Cartesian
-1.780 1.780 1.780
1.780 1.780 1.780
1.780 -1.780 1.780
1.780 1.780 -1.780
0.000 0.000 0.000
```

---

Compound: LuNpGe2
Source: the Alexandria database
Functional: GGA-PBE
Structure: relaxed

Computed properties:
- Energy of formation: -0.30 eV per atom

POSCAR file:
```
LuNpGe2
1.0
4.675 0.000 0.000
2.337 4.049 0.000
2.337 1.350 4.742
Np Ge Lu
1 2 1
Cartesian
4.675 2.699 2.371
7.012 4.049 3.567
2.337 1.350 1.175
0.000 0.000 0.000
```

---

Compound: RePIr2
Source: the Alexandria database
Functional: GGA-PBE
Structure: relaxed

Computed properties:
- Energy of formation: 0.38 eV per atom

POSCAR file:
```
RePIr2
1.0
1.383 2.436 -0.119
-2.680 -0.053 0.822
2.515 -1.031 8.134
Re P Ir
1 1 2
Cartesian
0.036 0.911 2.565
1.255 -0.515 4.060
0.015 -0.006 0.049
1.169 0.446 6.229
```

---

Compound: Er2TmAlC
Source: the Alexandria database
Functional: GGA-PBE
Structure: relaxed

Computed properties:
- Energy of formation: -0.44 eV per atom

POSCAR file:
```
Er2TmAlC
1.0
-2.347 -4.178 0.251
3.892 -2.290 -1.711
1.610 -0.633 4.509
Er Tm Al C
2 1 1 1
Cartesian
0.805 -0.317 2.254
1.946 -1.145 -0.856
-1.174 -2.089 0.126
1.577 -3.550 1.524
0.000 0.000 0.000
```

---

Compound: Si2Os2Au
Source: the Alexandria database
Functional: GGA-PBE
Structure: relaxed

Computed properties:
- ΔE_f (raw): -32 kJ/mol of formula units

POSCAR file:
```
Si2Os2Au
1.0
-4.590 -5.356 0.953
2.966 -3.509 -5.436
1.855 -1.264 1.828
Os Si Au
4 4 2
Cartesian
0.907 -4.899 -4.308
-2.009 -6.842 -2.693
-2.531 -3.965 -0.175
0.385 -2.023 -1.790
2.168 -3.706 -2.472
0.473 -7.094 -3.094
-1.938 -6.422 -0.184
-0.243 -3.035 0.439
0.000 0.000 0.000
-0.812 -4.432 -2.241
```

---

Compound: HoZnAs2
Source: the Alexandria database
Functional: GGA-PBE
Structure: relaxed

Computed properties:
- Energy of formation: -0.53 eV per atom

POSCAR file:
```
HoZnAs2
1.0
4.031 0.000 0.000
2.016 3.491 0.000
2.016 1.164 6.216
Zn As Ho
1 2 1
Cartesian
0.000 0.000 0.000
2.016 1.164 1.407
6.047 3.491 4.808
4.031 2.327 3.108
```

---

Compound: Er3Si2Pt4
Source: the Alexandria database
Functional: GGA-PBE
Structure: relaxed

Computed properties:
- ΔE_f (raw): -1053 kJ/mol of formula units

POSCAR file:
```
Er3Si2Pt4
1.0
4.124 0.000 1.218
1.756 5.019 1.643
-0.206 0.129 8.287
Er Si Pt
3 2 4
Cartesian
2.377 3.023 7.129
0.000 0.000 0.000
3.296 2.126 4.018
3.076 5.026 4.765
2.598 0.122 6.382
1.772 1.794 1.591
3.902 3.355 9.557
0.660 1.178 5.355
5.014 3.970 5.792
```

---

Compound: CePrPt4
Source: the Alexandria database
Functional: GGA-PBE
Structure: relaxed

Computed properties:
- Energy of formation: -1.02 eV per atom

POSCAR file:
```
CePrPt4
1.0
5.516 0.000 0.000
2.758 4.777 0.000
2.758 1.592 4.504
Pr Ce Pt
1 1 4
Cartesian
0.000 0.000 0.000
2.758 1.592 1.126
5.516 3.185 0.565
5.516 1.595 2.814
6.893 3.980 2.814
4.139 3.980 2.814
```

---

Compound: SrCuIrOs2
Source: the Alexandria database
Functional: GGA-PBE
Structure: relaxed

Computed properties:
- Energy of formation: 3.49 eV per atom

POSCAR file:
```
SrCuIrOs2
1.0
-2.439 -3.819 1.899
2.735 -3.087 -2.695
3.279 -0.280 3.648
Sr Ir Os Cu
1 1 2 1
Cartesian
0.000 0.000 0.000
1.367 -1.543 -1.348
1.640 -0.140 1.824
-1.219 -1.910 0.950
1.788 -3.593 1.426
```

---

Compound: LaErHg4
Source: the Alexandria database
Functional: GGA-PBE
Structure: relaxed

Computed properties:
- Energy of formation: -0.37 eV per atom

POSCAR file:
```
LaErHg4
1.0
3.776 0.000 1.092
2.069 5.219 -0.079
-0.302 -1.390 8.117
La Er Hg
1 1 4
Cartesian
2.771 1.914 4.565
0.000 0.000 0.000
3.900 1.483 7.736
3.267 4.694 2.852
1.643 2.345 1.394
2.276 -0.866 6.279
```

---

Compound: Ba2TlCu
Source: the Alexandria database
Functional: GGA-PBE
Structure: relaxed

Computed properties:
- Energy of formation: 0.03 eV per atom

POSCAR file:
```
Ba2TlCu
1.0
-5.510 -0.466 3.262
-1.247 -6.036 1.797
5.148 3.798 0.537
Ba Cu Tl
2 1 1
Cartesian
0.000 0.000 0.000
0.261 -2.744 2.432
-3.378 -3.251 2.530
-1.870 0.041 3.165
```